1:
# TbZn2Ga4

A geometry-optimized TbZn2Ga4 structure (PBE, Alexandria).

As for the size of the total moment: 0.0 μB per formula unit. For the volume, the calculation gives 19.59 Å³ per atom.

The space group is Cmmm (No. 65) and the conventional cell measures 8.240, 9.245 and 3.600 Å, with angles of 90.00, 90.00 and 90.00 degrees. Symmetry generates all atoms from Tb at (0.000, 0.000, 0.000), Zn at (0.000, 0.268, 0.500), Ga at (0.190, 0.500, 0.500) and Ga at (0.250, 0.250, 0.000).

---

2:
# TbZn2Ga4

A geometry-optimized TbZn2Ga4 structure (PBE, Alexandria).

As for the size of the total moment: 0.0 μB per formula unit. For the volume, the calculation gives 21.01 Å³ per atom.

The space group is R-3m (No. 166, hexagonal axes) and the conventional cell measures 4.0829, 4.0829 and 30.5564 Å, with angles of 90.00, 90.00 and 120.00 degrees. Symmetry generates all atoms from Tb at (0.0000, 0.0000, 0.0000), Zn at (0.0000, 0.0000, 0.1863), Ga at (0.0000, 0.0000, 0.1016) and Ga at (0.0000, 0.0000, 0.2707).

---

Most stable: 2

---

1:
# Tb3Zn2Ga7

A geometry-optimized Tb3Zn2Ga7 structure (PBE, Alexandria).

As for the size of the total moment: 0.0 μB per formula unit. For the volume, the calculation gives 19.70 Å³ per atom.

The space group is Cmmm (No. 65) and the conventional cell measures 4.204, 27.172 and 4.139 Å, with angles of 90.00, 90.00 and 90.00 degrees. Symmetry generates all atoms from Tb at (0.000, 0.000, 0.000), Tb at (0.000, 0.177, 0.000), Zn at (0.000, 0.360, 0.500), Ga at (0.000, 0.084, 0.500), Ga at (0.000, 0.272, 0.500), Ga at (0.000, 0.417, 0.000) and Ga at (0.000, 0.500, 0.500).

---

2:
# Tb3Zn2Ga7

A geometry-optimized Tb3Zn2Ga7 structure (PBE, Alexandria).

As for the size of the total moment: 0.0 μB per formula unit. For the volume, the calculation gives 19.69 Å³ per atom.

The space group is P2/m (No. 10) and the conventional cell measures 4.192, 4.187 and 13.620 Å, with angles of 90.00, 98.71 and 90.00 degrees. Symmetry generates all atoms from Tb at (0.000, 0.000, 0.000), Tb at (0.315, 0.500, 0.630), Zn at (0.135, 0.000, 0.274), Ga at (0.082, 0.500, 0.166), Ga at (0.227, 0.000, 0.453), Ga at (0.418, 0.000, 0.835) and Ga at (0.500, 0.500, 0.000).

---

Most stable: 2

---

1:
# Tb2Zn3Ga

A geometry-optimized Tb2Zn3Ga structure (PBE, Alexandria).

As for the size of the total moment: 0.0 μB per formula unit. For the volume, the calculation gives 20.51 Å³ per atom.

The space group is Fmmm (No. 69) and the conventional cell measures 7.161, 8.905 and 15.438 Å, with angles of 90.00, 90.00 and 90.00 degrees. Symmetry generates all atoms from Tb at (0.245, 0.000, 0.000), Tb at (0.250, 0.250, 0.250), Zn at (0.000, 0.000, 0.167), Zn at (0.000, 0.249, 0.417) and Ga at (0.000, 0.000, 0.334).

---

2:
# Tb2Zn3Ga

A geometry-optimized Tb2Zn3Ga structure (PBE, Alexandria).

As for the size of the total moment: 0.0 μB per formula unit. For the volume, the calculation gives 21.26 Å³ per atom.

The space group is Imm2 (No. 44) and the conventional cell measures 3.962, 4.226 and 15.237 Å, with angles of 90.00, 90.00 and 90.00 degrees. Symmetry generates all atoms from Tb at (0.000, 0.000, 0.000), Tb at (0.000, 0.500, 0.248), Zn at (0.000, 0.000, 0.419), Zn at (0.000, 0.500, 0.665), Zn at (0.000, 0.500, 0.828) and Ga at (0.000, 0.000, 0.583).

---

Most stable: 1

---

1:
# Tb3ZnGa2

A geometry-optimized Tb3ZnGa2 structure (PBE, Alexandria).

As for the size of the total moment: 0.0 μB per formula unit. For the volume, the calculation gives 23.05 Å³ per atom.

The space group is P-3m1 (No. 164) and the conventional cell measures 5.0760, 5.0760 and 12.3966 Å, with angles of 90.00, 90.00 and 120.00 degrees. Symmetry generates all atoms from Tb at (0.0000, 0.0000, 0.2504), Tb at (0.3333, 0.6667, 0.4172), Tb at (0.3333, 0.6667, 0.9174), Zn at (0.3333, 0.6667, 0.1678), Ga at (0.0000, 0.0000, 0.0000), Ga at (0.0000, 0.0000, 0.5000) and Ga at (0.3333, 0.6667, 0.6720).

---

2:
# Tb3ZnGa2

A geometry-optimized Tb3ZnGa2 structure (PBE, Alexandria).

As for the size of the total moment: 0.0 μB per formula unit. For the volume, the calculation gives 23.06 Å³ per atom.

The space group is P4/mmm (No. 123) and the conventional cell measures 3.576, 3.576 and 10.818 Å, with angles of 90.00, 90.00 and 90.00 degrees. Symmetry generates all atoms from Tb at (0.000, 0.000, 0.000), Tb at (0.000, 0.000, 0.336), Zn at (0.500, 0.500, 0.500) and Ga at (0.500, 0.500, 0.172).

---

Most stable: 1